[1]
Entry from the Alexandria database: TcCl3 at its PBEsol-relaxed geometry (meta-GGA SCAN).

## Properties
Excess energy over the best structure of this formula in the dataset = 0.1368 eV per atom
Density = 3.45 g/cm³
ΔE_f (raw) = -0.71 eV/atom
Calculated volume = 24.6 Å³ per atom

Unit cell a=4.7231 b=12.3941 c=3.3565 alpha=90.00 beta=90.00 gamma=90.00
Closest atoms and distances in Å follow each position.
Space group Cmmm (No. 65)
Symmetry-distinct sites (fractional):
Tc1 0.0000 0.0000 0.0000 [2 per cell]  6 Cl 2.36-2.37
Cl1 0.0000 0.1354 0.5000 [4 per cell]  2 Tc 2.37
Cl2 0.0000 0.5000 0.0000 [2 per cell]  2 Tc 2.36

[2]
Entry from the Alexandria database: Sc2CrIn at its PBEsol-relaxed geometry (meta-GGA SCAN).

## Properties
Density = 5.52 g/cm³
Energy of formation from the pure elements = -1.1 eV/f.u.
Calculated volume = 19.3 Å³ per atom

Unit cell a=3.2994 b=3.2994 c=7.0906 alpha=90.00 beta=90.00 gamma=90.00
Closest atoms and distances in Å follow each position.
Space group P4/mmm (No. 123)
Symmetry-distinct sites (fractional):
Sc1 0.0000 0.0000 0.2199 [2 per cell]  4 Cr 2.81, 4 In 3.06, 1 Sc 3.12
Cr1 0.5000 0.5000 0.0000 [1 per cell]  8 Sc 2.81
In1 0.5000 0.5000 0.5000 [1 per cell]  8 Sc 3.06, 4 In 3.30

[3]
Entry from the Alexandria database: LaTcO2F at its PBEsol-relaxed geometry (meta-GGA SCAN).

## Properties
Density = 7.47 g/cm³
ΔE_f (raw) = -2.17 eV/atom
Calculated volume = 12.8 Å³ per atom

Unit cell a=4.0039 b=4.0039 c=3.9902 alpha=90.00 beta=90.00 gamma=90.00
Closest atoms and distances in Å follow each position.
Space group P4/mmm (No. 123)
Symmetry-distinct sites (fractional):
La1 0.0000 0.0000 0.0000 [1 per cell]  8 O 2.83, 4 F 2.83
Tc1 0.5000 0.5000 0.5000 [1 per cell]  2 F 2.00, 4 O 2.00
O1 0.0000 0.5000 0.5000 [2 per cell]  2 Tc 2.00
F1 0.5000 0.5000 0.0000 [1 per cell]  2 Tc 2.00

[4]
Entry from the Alexandria database: Ti10BiPb9O30 at its PBEsol-relaxed geometry (meta-GGA SCAN).

## Properties
Density = 8.04 g/cm³
ΔE_f (raw) = -2.48 eV/atom
Calculated volume = 12.5 Å³ per atom

Unit cell a=8.7041 b=8.7049 c=9.1348 alpha=67.59 beta=79.02 gamma=89.99
Closest atoms and distances in Å follow each position.
Space group P1 (No. 1)
Symmetry-distinct sites (fractional):
Ti1 0.0000 0.0000 0.0000 [1 per cell]  5 O 1.80-1.98
Ti2 0.0942 0.1971 0.5000 [1 per cell]  3 O 1.79-1.95
Ti3 0.1992 0.3986 0.0001 [1 per cell]  5 O 1.80-1.97
Ti4 0.2961 0.6036 0.5000 [1 per cell]  3 O 1.79-1.95
Ti5 0.3984 0.8008 0.0002 [1 per cell]  5 O 1.80-1.98
Ti6 0.5014 0.9951 0.5000 [1 per cell]  3 O 1.79-1.95
Ti7 0.5968 0.1989 0.0003 [1 per cell]  5 O 1.80-1.98
Ti8 0.7031 0.4021 0.4997 [1 per cell]  3 O 1.79-1.95
Ti9 0.7989 0.5995 0.9990 [1 per cell]  5 O 1.80-1.98
Ti10 0.8983 0.7990 0.5011 [1 per cell]  5 O 1.79-1.98
Bi1 0.3579 0.2171 0.7051 [1 per cell]  4 O 2.30
Pb1 0.0533 0.6087 0.2278 [1 per cell]  6 O 2.49-2.79
Pb2 0.1508 0.8079 0.7352 [1 per cell]  7 O 2.49-2.79
Pb3 0.2516 0.0078 0.2296 [1 per cell]  6 O 2.49-2.79
Pb4 0.4530 0.4091 0.2281 [1 per cell]  8 O 2.50-2.80
Pb5 0.5523 0.6025 0.7356 [1 per cell]  6 O 2.49-2.78
Pb6 0.6550 0.8084 0.2276 [1 per cell]  7 O 2.50-2.80
Pb7 0.7489 0.0045 0.7356 [1 per cell]  6 O 2.49-2.78
Pb8 0.8524 0.2074 0.2276 [1 per cell]  6 O 2.49-2.78
Pb9 0.9542 0.4062 0.7355 [1 per cell]  6 O 2.49-2.78
O1 0.0490 0.0871 0.7827 [1 per cell]  1 Ti 1.80
O2 0.0894 0.6794 0.5384 [1 per cell]  2 Ti 1.93-1.98
O3 0.0906 0.1835 0.0397 [1 per cell]  2 Ti 1.96-1.97
O4 0.1422 0.2869 0.2840 [1 per cell]  1 Ti 1.79
O5 0.1909 0.8839 0.0399 [1 per cell]  2 Ti 1.97
O6 0.1958 0.3773 0.5455 [1 per cell]  2 Ti 2.01
O7 0.2430 0.4800 0.7828 [1 per cell]  1 Ti 1.80
O8 0.2917 0.5859 0.0344 [1 per cell]  2 Ti 1.97-1.98
O9 0.2938 0.0880 0.5445 [1 per cell]  2 Ti 2.01-2.02
O10 0.3418 0.6840 0.2840 [1 per cell]  1 Ti 1.79
O11 0.3904 0.2836 0.0394 [1 per cell]  2 Ti 1.96
O12 0.3911 0.7842 0.5381 [1 per cell]  2 Ti 1.95
O13 0.4408 0.8938 0.7828 [1 per cell]  1 Ti 1.80
O14 0.4857 0.4751 0.5451 [1 per cell]  2 Ti 2.01
O15 0.4905 0.9837 0.0400 [1 per cell]  2 Ti 1.96-1.97
O16 0.5434 0.0866 0.2839 [1 per cell]  1 Ti 1.79
O17 0.5835 0.1855 0.5449 [1 per cell]  2 Ti 2.01
O18 0.5919 0.6863 0.0351 [1 per cell]  2 Ti 1.97
O19 0.6350 0.2851 0.7829 [1 per cell]  1 Ti 1.80
O20 0.6908 0.3854 0.0354 [1 per cell]  2 Ti 1.97-1.98
O21 0.6923 0.8883 0.5396 [1 per cell]  2 Ti 1.93-1.98
O22 0.7414 0.4865 0.2834 [1 per cell]  1 Ti 1.79
O23 0.7860 0.5853 0.5391 [1 per cell]  2 Ti 1.93-1.98
O24 0.7916 0.0854 0.0348 [1 per cell]  2 Ti 1.98
O25 0.8428 0.6868 0.7816 [1 per cell]  1 Ti 1.80
O26 0.8909 0.2842 0.5385 [1 per cell]  2 Ti 1.95
O27 0.8925 0.7849 0.0359 [1 per cell]  2 Ti 1.98
O28 0.9405 0.8857 0.2842 [1 per cell]  1 Ti 1.79
O29 0.9914 0.4843 0.0359 [1 per cell]  2 Ti 1.97
O30 0.9956 0.9826 0.5384 [1 per cell]  2 Ti 1.93-1.98